1.
7
Lattice="5.275 -2.042 0.000 5.275 2.042 0.000 -0.731 0.000 6.461" Properties=species:S:1:pos:R:3 comment="Pa2Si2Au3 | the Alexandria database | PBE | optimized geometry" e_form_raw_kj_per_mol_fu=-259 dos_at_fermi_per_ev_cell=8.25 vol_a3_per_atom=19.89 space_group="C2/m (12)" pbc="T T T"
Pa 1.159 0.000 2.177
Pa 8.661 0.000 4.283
Si 4.188 0.000 2.316
Si 5.632 0.000 4.144
Au 1.350 0.000 5.507
Au 5.275 0.000 0.000
Au 8.469 0.000 0.954

---

2.
4
Lattice="0.000 3.437 3.437 3.437 0.000 3.437 3.437 3.437 0.000" Properties=species:S:1:pos:R:3 comment="PaSiAu2 | the Alexandria database | PBE | optimized geometry" e_form_raw_kj_per_mol_fu=-90 dos_at_fermi_per_ev_cell=4.29 vol_a3_per_atom=20.30 space_group="Fm-3m (225)" pbc="T T T"
Pa 0.000 0.000 0.000
Si 3.437 3.437 3.437
Au 1.718 1.718 1.718
Au 5.155 5.155 5.155

---

3.
4
Lattice="3.504 0.000 0.000 0.000 3.504 0.000 0.000 0.000 7.824" Properties=species:S:1:pos:R:3 comment="SmPaAu2 | the Alexandria database | PBE | optimized geometry" de_polymorph_ev_per_fu=0.00 formation_energy_ev_per_atom=-0.4645 dos_at_fermi_per_ev_cell=5.58 vol_a3_per_atom=24.02 space_group="P4/mmm (123)" pbc="T T T"
Sm 0.000 0.000 0.000
Pa 0.000 0.000 3.912
Au 1.752 1.752 1.970
Au 1.752 1.752 5.853

---

4.
4
Lattice="1.955 1.128 8.055 -1.955 1.128 8.055 0.000 -2.257 8.055" Properties=species:S:1:pos:R:3 comment="SmPaAu2 | the Alexandria database | PBE | optimized geometry" de_polymorph_ev_per_fu=0.58 formation_energy_ev_per_atom=-0.3197 dos_at_fermi_per_ev_cell=5.85 vol_a3_per_atom=26.65 space_group="R-3m (166)" pbc="T T T"
Sm 0.000 0.000 0.000
Pa 0.000 0.000 12.083
Au 0.000 0.000 5.962
Au 0.000 0.000 18.203

---

5.
6
Lattice="5.019 0.000 0.000 -2.509 4.346 0.000 0.000 0.000 6.886" Properties=species:S:1:pos:R:3 comment="SmPaAu | the Alexandria database | PBE | optimized geometry" de_polymorph_ev_per_fu=0.00 formation_energy_ev_per_atom=-0.0531 dos_at_fermi_per_ev_cell=11.71 vol_a3_per_atom=25.03 space_group="P-3m1 (164)" pbc="T T T"
Sm 0.000 0.000 1.558
Sm 0.000 0.000 5.328
Pa 0.000 2.898 3.439
Pa 2.509 1.449 3.447
Au 0.000 2.898 6.875
Au 2.509 1.449 0.011

---

6.
9
Lattice="8.345 0.000 0.000 -4.172 7.227 0.000 0.000 0.000 3.200" Properties=species:S:1:pos:R:3 comment="SmPa2Au6 | the Alexandria database | PBE | optimized geometry" formation_energy_ev_per_atom=-0.5592 dos_at_fermi_per_ev_cell=9.79 vol_a3_per_atom=21.44 space_group="P6/mmm (191)" pbc="T T T"
Sm 0.000 0.000 0.000
Pa 0.000 4.818 0.000
Pa 4.172 2.409 0.000
Au -1.394 2.414 1.600
Au -2.779 4.813 1.600
Au 2.787 0.000 1.600
Au 1.394 2.414 1.600
Au 5.557 0.000 1.600
Au 2.779 4.813 1.600

---

7.
3
Lattice="5.033 0.000 0.000 -2.517 4.359 0.000 0.000 0.000 3.405" Properties=species:S:1:pos:R:3 comment="SmPaAu | the Alexandria database | PBE | optimized geometry" de_polymorph_ev_per_fu=0.15 formation_energy_ev_per_atom=-0.0043 dos_at_fermi_per_ev_cell=4.65 vol_a3_per_atom=24.90 space_group="P3m1 (156)" pbc="T T T"
Sm 0.000 0.000 0.000
Pa 0.000 2.906 1.316
Au 2.517 1.453 2.076

---

8.
4
Lattice="0.000 3.639 3.639 3.639 0.000 3.639 3.639 3.639 0.000" Properties=species:S:1:pos:R:3 comment="SmPaAu2 | the Alexandria database | PBE | optimized geometry" de_polymorph_ev_per_fu=0.20 formation_energy_ev_per_atom=-0.4149 dos_at_fermi_per_ev_cell=6.30 vol_a3_per_atom=24.10 space_group="Fm-3m (225)" pbc="T T T"
Sm 0.000 0.000 0.000
Pa 3.639 3.639 3.639
Au 1.820 1.820 1.820
Au 5.459 5.459 5.459

---

9.
4
Lattice="0.000 3.547 3.547 3.547 0.000 3.547 3.547 3.547 0.000" Properties=species:S:1:pos:R:3 comment="SmPaTcAu | the Alexandria database | PBE | optimized geometry" formation_energy_ev_per_atom=-0.1562 dos_at_fermi_per_ev_cell=6.35 vol_a3_per_atom=22.31 space_group="F-43m (216)" pbc="T T T"
Sm 0.000 0.000 0.000
Pa 3.547 3.547 3.547
Tc 5.321 5.321 5.321
Au 1.774 1.774 1.774

---

10.
8
Lattice="4.488 0.000 0.000 0.000 4.488 0.000 0.000 0.000 9.498" Properties=species:S:1:pos:R:3 comment="PaSn2Au | the Alexandria database | PBE | optimized geometry" de_polymorph_ev_per_fu=0.00 formation_energy_ev_per_atom=-0.3379 dos_at_fermi_per_ev_cell=6.76 vol_a3_per_atom=23.91 space_group="P4/nmm (129)" pbc="T T T"
Pa 1.122 1.122 2.272
Pa 3.366 3.366 7.226
Sn 1.122 1.122 7.563
Sn 1.122 3.366 4.749
Sn 3.366 1.122 4.749
Sn 3.366 3.366 1.935
Au 1.122 3.366 0.000
Au 3.366 1.122 0.000

---

11.
6
Lattice="0.000 3.996 3.996 3.996 0.000 3.996 3.996 3.996 0.000" Properties=species:S:1:pos:R:3 comment="PaSnAu4 | the Alexandria database | PBE | optimized geometry" de_polymorph_ev_per_fu=0.00 formation_energy_ev_per_atom=-0.1336 dos_at_fermi_per_ev_cell=8.88 vol_a3_per_atom=21.27 space_group="F-43m (216)" pbc="T T T"
Pa 0.000 0.000 0.000
Sn 5.994 5.994 5.994
Au 2.996 2.996 2.996
Au 4.997 4.997 2.996
Au 4.997 2.996 4.997
Au 2.996 4.997 4.997

---

12.
4
Lattice="4.642 0.000 0.000 0.000 4.642 0.000 0.000 0.000 4.382" Properties=species:S:1:pos:R:3 comment="PaSn2Au | the Alexandria database | PBE | optimized geometry" de_polymorph_ev_per_fu=0.02 formation_energy_ev_per_atom=-0.3322 dos_at_fermi_per_ev_cell=4.96 vol_a3_per_atom=23.60 space_group="P4/mmm (123)" pbc="T T T"
Pa 0.000 0.000 0.000
Sn 0.000 2.321 2.191
Sn 2.321 0.000 2.191
Au 2.321 2.321 0.000

---

no.,total energy (eV for the cell shown)
1,-42.35
2,-22.40
3,-22.63
4,-22.05
5,-35.30
6,-48.41
7,-17.51
8,-22.43
9,-28.48
10,-44.26
11,-27.41
12,-22.11